HfRe2RhPb | GGA-PBE | relaxed

Computed properties:
As for the density: 12.2 g cm⁻³. As for the space group: P4/mmm (123). The energy of formation is 1811 meV/atom. Its uncorrected energy is -7.371 eV/atom.

Unit cell a=4.951 b=4.951 c=4.796 alpha=90.00 beta=90.00 gamma=90.00
Fractional positions:
Hf  0.000  0.000  0.000
Re  0.000  0.500  0.000
Re  0.500  0.000  0.000
Rh  0.000  0.000  0.500
Pb  0.500  0.500  0.500

=====

YHfRePb2 | GGA-PBE | relaxed

Computed properties:
As for the density: 8.6 g cm⁻³. As for the space group: P4/mmm (123). The energy of formation is 2038 meV/atom. Its uncorrected energy is -5.218 eV/atom.

Unit cell a=5.639 b=5.639 c=5.268 alpha=90.00 beta=90.00 gamma=90.00
Fractional positions:
Y  0.000  0.000  0.000
Hf  0.000  0.000  0.500
Re  0.500  0.500  0.500
Pb  0.000  0.500  0.000
Pb  0.500  0.000  0.000

=====

HfZnRePb2 | GGA-PBE | relaxed

Computed properties:
As for the density: 9.7 g cm⁻³. As for the space group: P4/mmm (123). The energy of formation is 714 meV/atom. Its uncorrected energy is -5.505 eV/atom.

Unit cell a=5.323 b=5.323 c=5.091 alpha=90.00 beta=90.00 gamma=90.00
Fractional positions:
Hf  0.000  0.000  0.000
Zn  0.500  0.500  0.000
Re  0.000  0.000  0.500
Pb  0.000  0.500  0.500
Pb  0.500  0.000  0.500